(1)
Th3CSe3 (PBE, relaxed); ΔE_f (raw) = -1212 meV/atom; SG = C2/m (12); VASP energy = -7.203 eV/atom
1.0
-6.218 -3.437 2.372
3.247 -3.615 -5.701
4.327 -2.600 5.130
Se Th C
6 6 2
direct
0.251 0.749 0.000
0.599 0.599 0.345
0.838 0.162 0.500
0.162 0.838 0.500
0.401 0.401 0.655
0.749 0.251 0.000
0.149 0.450 0.294
0.851 0.550 0.706
0.450 0.149 0.294
0.895 0.895 0.189
0.105 0.105 0.811
0.550 0.851 0.706
0.173 0.173 0.144
0.827 0.827 0.856

=====

(2)
Ca4MgTa (PBE, relaxed); formation energy = 0.856 eV/atom; SG = F-43m (216); VASP energy = -2.719 eV/atom
1.0
0.442 -0.305 6.471
0.668 5.449 3.469
-4.903 2.120 3.692
Ca Ta Mg
4 1 1
direct
0.375 0.375 0.375
0.375 0.375 0.876
0.876 0.375 0.375
0.375 0.876 0.375
0.000 0.000 0.000
0.750 0.750 0.750

=====

(3)
ScCd2Pd2 (PBE, relaxed); formation energy = -0.523 eV/atom; SG = P-3m1 (164); VASP energy = -4.232 eV/atom
1.0
4.534 0.012 -0.008
2.256 3.933 -0.008
0.010 0.006 5.683
Pd Sc Cd
2 1 2
direct
0.833 0.333 0.137
0.167 0.667 0.863
0.500 0.000 0.000
0.167 0.667 0.366
0.833 0.333 0.634

=====

(4)
Sc5In2Tc (PBE, relaxed); formation energy = -0.252 eV/atom; SG = I4/mmm (139); VASP energy = -6.190 eV/atom
1.0
-2.200 2.253 3.755
-3.110 -3.762 0.436
7.122 -2.416 2.424
In Sc Tc
2 5 1
direct
0.251 0.251 0.501
0.749 0.749 0.499
0.116 0.616 0.233
0.384 0.884 0.767
0.884 0.384 0.767
0.500 0.500 0.000
0.616 0.116 0.233
0.000 0.000 0.000

=====

(5)
Sm2CdCl8 (PBE, relaxed); ΔE_f (raw) = -1940 meV/atom; SG = C2/m (12); VASP energy = -4.224 eV/atom
1.0
3.806 0.000 -0.957
0.145 7.878 0.576
0.681 0.995 10.755
Cl Sm Cd
8 2 1
direct
0.386 0.517 0.773
0.756 0.668 0.512
0.371 0.063 0.742
0.983 0.228 0.966
0.614 0.483 0.227
0.629 0.937 0.258
0.244 0.332 0.488
0.017 0.772 0.034
0.158 0.668 0.315
0.842 0.332 0.685
0.500 0.000 0.000

=====

(6)
LiEuGa4 (PBE, relaxed); formation energy = -0.353 eV/atom; SG = F-43m (216); VASP energy = -4.403 eV/atom
1.0
-3.150 -4.592 0.063
1.468 -4.426 -3.045
1.854 -4.614 2.508
Ga Li Eu
4 1 1
direct
0.625 0.625 0.625
0.124 0.625 0.625
0.625 0.625 0.124
0.625 0.124 0.625
0.000 0.000 0.000
0.250 0.250 0.250